ZrScZnCd after structural relaxation. Source: Alexandria, functional GGA-PBE.

a = 3.309 Å, b = 3.309 Å, c = 7.406 Å
α = 90.00°, β = 90.00°, γ = 90.00°
Atoms (fractional coordinates):
1 Zr 0.000 0.000 0.000
2 Sc 0.000 0.000 0.457
3 Zn 0.500 0.500 0.233
4 Cd 0.500 0.500 0.721

- formation energy (eV per formula unit) = -0.999
- energy relative to the lowest polymorph listed for this composition (eV/atom) = 0.000
- calculated total energy (eV/atom) = -4.5170